Tm2TlNi after structural relaxation. Source: the Alexandria database, functional GGA-PBE.

Cell lengths 3.424, 3.424, 7.680 Å; angles 90.00, 90.00, 90.00 degrees
Fractional positions:
Ni (0.500, 0.500, 0.000)
Tm (0.000, 0.000, 0.791)
Tm (0.000, 0.000, 0.209)
Tl (0.500, 0.500, 0.500)

Properties
ΔE to the lowest computed polymorph: 0.000 eV per formula unit
energy of formation: -0.3830 eV per atom
calculated density: 11.08 Mg/m³
space group: P4/mmm